1.
SmErS2 | GGA-PBE | optimized geometry

Output
For the density of states at the Fermi level, the calculation gives 0.2485 states/eV per atom. Its excess energy over the best structure of this formula in the dataset is 57 meV per atom. Its uncorrected formation energy is -1938 meV per atom. For the total DFT energy (no corrections), the calculation gives -6.3226 eV/atom. As for the space group: R3m.

Geometry as CIF:
```
data_SmErS2
_symmetry_space_group_name_H-M 'P 1'
_symmetry_Int_Tables_number 1
_symmetry_space_group_name_Hall 'P 1'
_cell_length_a 7.221
_cell_length_b 7.221
_cell_length_c 7.221
_cell_angle_alpha 30.82
_cell_angle_beta 30.82
_cell_angle_gamma 30.82
loop_
_atom_site_label
_atom_site_type_symbol
_atom_site_fract_x
_atom_site_fract_y
_atom_site_fract_z
Sm1 Sm 0.000 0.000 0.000
Er1 Er 0.822 0.822 0.822
S1 S 0.413 0.413 0.413
S2 S 0.575 0.575 0.575
```

=====

2.
Sm2Er2S3 | GGA-PBE | optimized geometry

Output
For the density of states at the Fermi level, the calculation gives 0.4535 states/eV per atom. Its uncorrected formation energy is -1704 meV per atom. For the total DFT energy (no corrections), the calculation gives -6.1252 eV/atom. As for the space group: P-1.

Geometry as CIF:
```
data_Sm2Er2S3
_symmetry_space_group_name_H-M 'P 1'
_symmetry_Int_Tables_number 1
_symmetry_space_group_name_Hall 'P 1'
_cell_length_a 3.857
_cell_length_b 6.717
_cell_length_c 6.806
_cell_angle_alpha 99.00
_cell_angle_beta 90.01
_cell_angle_gamma 106.63
loop_
_atom_site_label
_atom_site_type_symbol
_atom_site_fract_x
_atom_site_fract_y
_atom_site_fract_z
Sm1 Sm 0.125 0.248 0.382
Sm2 Sm 0.875 0.752 0.618
Er1 Er 0.373 0.746 0.117
Er2 Er 0.627 0.254 0.883
S1 S 0.000 0.000 0.000
S2 S 0.250 0.500 0.761
S3 S 0.750 0.500 0.239
```

=====

3.
SmEr2S4 | GGA-PBE | optimized geometry

Output
For the density of states at the Fermi level, the calculation gives 0.2350 states/eV per atom. Its excess energy over the best structure of this formula in the dataset is 0 meV per atom. Its uncorrected formation energy is -2063 meV per atom. For the total DFT energy (no corrections), the calculation gives -6.3991 eV/atom. As for the space group: Cmcm.

Geometry as CIF:
```
data_SmEr2S4
_symmetry_space_group_name_H-M 'P 1'
_symmetry_Int_Tables_number 1
_symmetry_space_group_name_Hall 'P 1'
_cell_length_a 6.701
_cell_length_b 6.701
_cell_length_c 13.111
_cell_angle_alpha 90.00
_cell_angle_beta 90.00
_cell_angle_gamma 146.84
loop_
_atom_site_label
_atom_site_type_symbol
_atom_site_fract_x
_atom_site_fract_y
_atom_site_fract_z
Sm1 Sm 0.125 0.875 0.750
Sm2 Sm 0.875 0.125 0.250
Er1 Er 0.370 0.630 0.569
Er2 Er 0.370 0.630 0.931
Er3 Er 0.630 0.370 0.069
Er4 Er 0.630 0.370 0.431
S1 S 0.000 0.000 0.000
S2 S 0.000 0.000 0.500
S3 S 0.274 0.726 0.120
S4 S 0.274 0.726 0.380
S5 S 0.464 0.536 0.750
S6 S 0.536 0.464 0.250
S7 S 0.726 0.274 0.620
S8 S 0.726 0.274 0.880
```

=====

4.
Sm3Er5S8 | GGA-PBE | optimized geometry

Output
For the density of states at the Fermi level, the calculation gives 0.5068 states/eV per atom. Its uncorrected formation energy is -1977 meV per atom. For the total DFT energy (no corrections), the calculation gives -6.3512 eV/atom. As for the space group: R-3m.

Geometry as CIF:
```
data_Sm3Er5S8
_symmetry_space_group_name_H-M 'P 1'
_symmetry_Int_Tables_number 1
_symmetry_space_group_name_Hall 'P 1'
_cell_length_a 7.861
_cell_length_b 7.861
_cell_length_c 7.861
_cell_angle_alpha 59.67
_cell_angle_beta 59.67
_cell_angle_gamma 59.67
loop_
_atom_site_label
_atom_site_type_symbol
_atom_site_fract_x
_atom_site_fract_y
_atom_site_fract_z
Sm1 Sm 0.000 0.500 0.500
Sm2 Sm 0.500 0.000 0.500
Sm3 Sm 0.500 0.500 0.000
Er1 Er 0.000 0.000 0.000
Er2 Er 0.000 0.000 0.500
Er3 Er 0.000 0.500 0.000
Er4 Er 0.500 0.000 0.000
Er5 Er 0.500 0.500 0.500
S1 S 0.240 0.750 0.750
S2 S 0.245 0.245 0.245
S3 S 0.250 0.250 0.760
S4 S 0.250 0.760 0.250
S5 S 0.750 0.240 0.750
S6 S 0.750 0.750 0.240
S7 S 0.755 0.755 0.755
S8 S 0.760 0.250 0.250
```

=====

5.
Sm3ErS4 | GGA-PBE | optimized geometry

Output
For the density of states at the Fermi level, the calculation gives 0.4861 states/eV per atom. Its excess energy over the best structure of this formula in the dataset is 10 meV per atom. Its uncorrected formation energy is -1998 meV per atom. For the total DFT energy (no corrections), the calculation gives -6.4021 eV/atom. As for the space group: Pmmm.

Geometry as CIF:
```
data_Sm3ErS4
_symmetry_space_group_name_H-M 'P 1'
_symmetry_Int_Tables_number 1
_symmetry_space_group_name_Hall 'P 1'
_cell_length_a 3.958
_cell_length_b 5.614
_cell_length_c 7.996
_cell_angle_alpha 90.00
_cell_angle_beta 90.00
_cell_angle_gamma 90.00
loop_
_atom_site_label
_atom_site_type_symbol
_atom_site_fract_x
_atom_site_fract_y
_atom_site_fract_z
Sm1 Sm 0.000 0.000 0.000
Sm2 Sm 0.500 0.500 0.248
Sm3 Sm 0.500 0.500 0.752
Er1 Er 0.000 0.000 0.500
S1 S 0.000 0.500 0.000
S2 S 0.000 0.500 0.500
S3 S 0.500 0.000 0.260
S4 S 0.500 0.000 0.740
```

=====

6.
Sm2ErS3 | GGA-PBE | optimized geometry

Output
For the density of states at the Fermi level, the calculation gives 0.4245 states/eV per atom. Its excess energy over the best structure of this formula in the dataset is 4 meV per atom. Its uncorrected formation energy is -1997 meV per atom. For the total DFT energy (no corrections), the calculation gives -6.3938 eV/atom. As for the space group: Immm.

Geometry as CIF:
```
data_Sm2ErS3
_symmetry_space_group_name_H-M 'P 1'
_symmetry_Int_Tables_number 1
_symmetry_space_group_name_Hall 'P 1'
_cell_length_a 6.866
_cell_length_b 6.866
_cell_length_c 6.866
_cell_angle_alpha 146.48
_cell_angle_beta 131.85
_cell_angle_gamma 59.94
loop_
_atom_site_label
_atom_site_type_symbol
_atom_site_fract_x
_atom_site_fract_y
_atom_site_fract_z
Sm1 Sm 0.171 0.171 0.000
Sm2 Sm 0.829 0.829 0.000
Er1 Er 0.500 0.500 0.000
S1 S 0.000 0.500 0.500
S2 S 0.341 0.841 0.500
S3 S 0.659 0.159 0.500
```

=====

7.
Sm4ErS6 | GGA-PBE | optimized geometry

Output
For the density of states at the Fermi level, the calculation gives 0.2219 states/eV per atom. Its uncorrected formation energy is -2020 meV per atom. For the total DFT energy (no corrections), the calculation gives -6.4021 eV/atom. As for the space group: Cmcm.

Geometry as CIF:
```
data_Sm4ErS6
_symmetry_space_group_name_H-M 'P 1'
_symmetry_Int_Tables_number 1
_symmetry_space_group_name_Hall 'P 1'
_cell_length_a 6.876
_cell_length_b 6.876
_cell_length_c 20.179
_cell_angle_alpha 90.00
_cell_angle_beta 90.00
_cell_angle_gamma 147.26
loop_
_atom_site_label
_atom_site_type_symbol
_atom_site_fract_x
_atom_site_fract_y
_atom_site_fract_z
Sm1 Sm 0.090 0.910 0.630
Sm2 Sm 0.090 0.910 0.870
Sm3 Sm 0.360 0.640 0.541
Sm4 Sm 0.360 0.640 0.959
Sm5 Sm 0.640 0.360 0.041
Sm6 Sm 0.640 0.360 0.459
Sm7 Sm 0.910 0.090 0.130
Sm8 Sm 0.910 0.090 0.370
Er1 Er 0.152 0.848 0.250
Er2 Er 0.848 0.152 0.750
S1 S 0.000 0.000 0.000
S2 S 0.000 0.000 0.500
S3 S 0.201 0.799 0.750
S4 S 0.271 0.729 0.090
S5 S 0.271 0.729 0.410
S6 S 0.445 0.555 0.670
S7 S 0.445 0.555 0.830
S8 S 0.555 0.445 0.170
S9 S 0.555 0.445 0.330
S10 S 0.729 0.271 0.590
S11 S 0.729 0.271 0.910
S12 S 0.799 0.201 0.250
```

=====

8.
SmEr4S7 | GGA-PBE | optimized geometry

Output
For the density of states at the Fermi level, the calculation gives 0.1280 states/eV per atom. Its uncorrected formation energy is -2053 meV per atom. For the total DFT energy (no corrections), the calculation gives -6.3747 eV/atom. As for the space group: Cm.

Geometry as CIF:
```
data_SmEr4S7
_symmetry_space_group_name_H-M 'P 1'
_symmetry_Int_Tables_number 1
_symmetry_space_group_name_Hall 'P 1'
_cell_length_a 6.701
_cell_length_b 6.701
_cell_length_c 11.600
_cell_angle_alpha 103.80
_cell_angle_beta 103.80
_cell_angle_gamma 32.87
loop_
_atom_site_label
_atom_site_type_symbol
_atom_site_fract_x
_atom_site_fract_y
_atom_site_fract_z
Sm1 Sm 0.000 0.000 0.000
Er1 Er 0.112 0.112 0.422
Er2 Er 0.224 0.224 0.839
Er3 Er 0.412 0.412 0.606
Er4 Er 0.812 0.812 0.235
S1 S 0.069 0.069 0.635
S2 S 0.156 0.156 0.210
S3 S 0.364 0.364 0.069
S4 S 0.454 0.454 0.370
S5 S 0.615 0.615 0.916
S6 S 0.771 0.771 0.471
S7 S 0.850 0.850 0.768
```